# CaAcSi2Au2 PBE-GGA optimized geometry
data_CaAcSi2Au2
_chemical_formula_sum 'Ca1 Ac1 Si2 Au2'
_symmetry_space_group_name_H-M 'P -3 m 1'
_symmetry_Int_Tables_number 164
_symmetry_space_group_name_Hall '-P 3 2"'
_cell_length_a 4.3757
_cell_length_b 4.3757
_cell_length_c 8.5431
_cell_angle_alpha 90.00
_cell_angle_beta 90.00
_cell_angle_gamma 120.00
loop_
_atom_site_label
_atom_site_type_symbol
_atom_site_fract_x
_atom_site_fract_y
_atom_site_fract_z
Ca1 Ca 0.0000 0.0000 0.0000
Ac1 Ac 0.0000 0.0000 0.5000
Si1 Si 0.3333 0.6667 0.2455
Au1 Au 0.3333 0.6667 0.7715
# Raw total energy   -4.651 eV/atom
# Raw formation energy   -733 meV/atom
# Crystal system   trigonal